# BaPmMgCd

An optimized crystal structure of BaPmMgCd (PBE, Alexandria via LeMat-Bulk).

Properties
Magnetic moment, μB per formula unit: 0.0
Fermi-level density of states, states/eV/f.u.: 2.9
Crystal system: cubic
Energy, eV/atom: -2.393

a b c (Å): 8.1160 8.1160 8.1160
angles (deg): 90.00 90.00 90.00
With the nearest neighbours (Å) after each atom.
Atoms (fractional coordinates):
1 Ba 0.0000 0.0000 0.0000  4 Cd 3.51, 4 Mg 3.51
2 Ba 0.0000 0.5000 0.5000  4 Cd 3.51, 4 Mg 3.51
3 Ba 0.5000 0.0000 0.5000  4 Cd 3.51, 4 Mg 3.51
4 Ba 0.5000 0.5000 0.0000  4 Cd 3.51, 4 Mg 3.51
5 Pm 0.0000 0.0000 0.5000  4 Cd 3.51, 4 Mg 3.51
6 Pm 0.0000 0.5000 0.0000  4 Cd 3.51, 4 Mg 3.51
7 Pm 0.5000 0.0000 0.0000  4 Cd 3.51, 4 Mg 3.51
8 Pm 0.5000 0.5000 0.5000  4 Cd 3.51, 4 Mg 3.51
9 Mg 0.2500 0.2500 0.7500  4 Pm 3.51, 4 Ba 3.51
10 Mg 0.2500 0.7500 0.2500  4 Pm 3.51, 4 Ba 3.51
11 Mg 0.7500 0.2500 0.2500  4 Pm 3.51, 4 Ba 3.51
12 Mg 0.7500 0.7500 0.7500  4 Pm 3.51, 4 Ba 3.51
13 Cd 0.2500 0.2500 0.2500  4 Ba 3.51, 4 Pm 3.51
14 Cd 0.2500 0.7500 0.7500  4 Ba 3.51, 4 Pm 3.51
15 Cd 0.7500 0.2500 0.7500  4 Ba 3.51, 4 Pm 3.51
16 Cd 0.7500 0.7500 0.2500  4 Ba 3.51, 4 Pm 3.51